# 1
DFT (PBE) results for Ca4Pu3N8 after structural relaxation.

The space group is R-3m (No. 166, hexagonal axes) and the conventional cell measures 6.8352, 6.8352 and 17.8765 Å, with angles of 90.00, 90.00 and 120.00 degrees. The asymmetric unit holds Ca at (0.0000, 0.0000, 0.0000), Ca at (0.0000, 0.0000, 0.1515), Ca at (0.0000, 0.0000, 0.5000), Pu at (0.0000, 0.5000, 0.0000), N at (0.0000, 0.0000, 0.2775) and N at (0.0259, 0.5129, 0.2668).

The calculation puts the formation energy from raw total energies at -0.94 eV/atom. The value obtained for the magnetic moment is 24.00 Bohr magnetons per cell.

=====

# 2
DFT (PBE) results for Cs2HgCl3 after structural relaxation.

The space group is Fmmm (No. 69) and the conventional cell measures 9.333, 14.072 and 17.520 Å, with angles of 90.00, 90.00 and 90.00 degrees. The asymmetric unit holds Cs at (0.220, 0.000, 0.000), Cs at (0.250, 0.250, 0.250), Hg at (0.000, 0.000, 0.221), Cl at (0.000, 0.000, 0.376) and Cl at (0.000, 0.154, 0.123).

The calculation puts the formation energy from raw total energies at -1.29 eV/atom. The value obtained for the magnetic moment is 3.35 Bohr magnetons per cell.

=====

# 3
DFT (PBE) results for LiTa2Pb after structural relaxation.

The space group is Pmmm (No. 47) and the conventional cell measures 3.602, 4.295 and 4.789 Å, with angles of 90.00, 90.00 and 90.00 degrees. The asymmetric unit holds Li at (0.000, 0.000, 0.000), Ta at (0.000, 0.500, 0.500), Ta at (0.500, 0.000, 0.500) and Pb at (0.500, 0.500, 0.000).

As for the formation enthalpy at 0 K: 29 kJ/mol of atoms. The value obtained for the magnetic moment is 0.00 Bohr magnetons per cell.

=====

# 4
DFT (PBE) results for LiMg2SnB after structural relaxation.

The space group is P4/mmm (No. 123) and the conventional cell measures 4.797, 4.797 and 4.641 Å, with angles of 90.00, 90.00 and 90.00 degrees. The asymmetric unit holds Li at (0.000, 0.000, 0.000), Mg at (0.000, 0.500, 0.000), Sn at (0.000, 0.000, 0.500) and B at (0.500, 0.500, 0.500).

As for the formation enthalpy at 0 K: 98 kJ/mol of atoms. The value obtained for the magnetic moment is 0.00 Bohr magnetons per cell.

=====

# 5
DFT (PBE) results for Pr6GeRh2Cl3 after structural relaxation.

The space group is C2/m (No. 12) and the conventional cell measures 7.301, 12.649 and 7.772 Å, with angles of 90.00, 108.31 and 90.00 degrees. The asymmetric unit holds Pr at (0.224, 0.000, 0.213), Pr at (0.244, 0.327, 0.213), Ge at (0.000, 0.500, 0.000), Rh at (0.000, 0.167, 0.000), Cl at (0.000, 0.000, 0.500) and Cl at (0.000, 0.340, 0.500).

The calculation puts the formation energy from raw total energies at -1.13 eV/atom. The value obtained for the magnetic moment is 0.00 Bohr magnetons per cell.

=====

# 6
DFT (PBE) results for Sb2Te2I after structural relaxation.

The space group is I4/mmm (No. 139) and the conventional cell measures 5.491, 5.491 and 12.428 Å, with angles of 90.00, 90.00 and 90.00 degrees. The asymmetric unit holds Sb at (0.000, 0.500, 0.250), Te at (0.000, 0.000, 0.149) and I at (0.000, 0.000, 0.500).

The calculation puts the formation energy from raw total energies at 0.09 eV/atom. The value obtained for the magnetic moment is 0.00 Bohr magnetons per cell.

=====

# 7
DFT (PBE) results for Gd2CuPb after structural relaxation.

The space group is P4/mmm (No. 123) and the conventional cell measures 3.503, 3.503 and 8.224 Å, with angles of 90.00, 90.00 and 90.00 degrees. The asymmetric unit holds Gd at (0.000, 0.000, 0.215), Cu at (0.500, 0.500, 0.000) and Pb at (0.500, 0.500, 0.500).

As for the formation enthalpy at 0 K: -34 kJ/mol of atoms. The value obtained for the magnetic moment is 14.80 Bohr magnetons per cell.

=====

Copy entry 1 word for word.
DFT (PBE) results for Ca4Pu3N8 after structural relaxation.

The space group is R-3m (No. 166, hexagonal axes) and the conventional cell measures 6.8352, 6.8352 and 17.8765 Å, with angles of 90.00, 90.00 and 120.00 degrees. The asymmetric unit holds Ca at (0.0000, 0.0000, 0.0000), Ca at (0.0000, 0.0000, 0.1515), Ca at (0.0000, 0.0000, 0.5000), Pu at (0.0000, 0.5000, 0.0000), N at (0.0000, 0.0000, 0.2775) and N at (0.0259, 0.5129, 0.2668).

The calculation puts the formation energy from raw total energies at -0.94 eV/atom. The value obtained for the magnetic moment is 24.00 Bohr magnetons per cell.